This record from OQMD describes a relaxed structure of Lu2CuRe. The functional is PBE-GGA.

Cell and atoms, written as POSCAR:
```
Lu2CuRe
1.0
0.000 3.336 3.336
3.336 0.000 3.336
3.336 3.336 0.000
Lu Cu Re
2 1 1
direct
0.000 0.000 0.000
0.250 0.250 0.250
0.750 0.750 0.750
0.500 0.500 0.500
```

Output
Symmetry: F-43m (216)
ΔE_f in meV/atom: 341